# 1
This record from Alexandria via LeMat-Bulk describes a geometry-optimized InSn2Os structure. The functional is PBE.

## Properties
Size of the total moment, μB/f.u.: 0.0
Raw total energy, eV per atom: -5.22

```
data_InSn2Os
_cell_length_a 3.2420
_cell_length_b 3.2420
_cell_length_c 30.3944
_cell_angle_alpha 90.00
_cell_angle_beta 90.00
_cell_angle_gamma 120.00
_space_group_name_H-M_alt 'R -3 m'
_space_group_IT_number 166
_space_group_name_Hall '-R 3 2"'
loop_
_atom_site_label
_atom_site_fract_x
_atom_site_fract_y
_atom_site_fract_z
In1 0.0000 0.0000 0.0000
Sn1 0.0000 0.0000 0.1004
Os1 0.0000 0.0000 0.5000
```

=====

# 2
This record from Alexandria via LeMat-Bulk describes a geometry-optimized In2Sn4Os structure. The functional is PBE.

## Properties
Size of the total moment, μB/f.u.: 0.0
Raw total energy, eV per atom: -4.38

```
data_In2Sn4Os
_cell_length_a 5.0040
_cell_length_b 5.0040
_cell_length_c 17.4751
_cell_angle_alpha 90.00
_cell_angle_beta 90.00
_cell_angle_gamma 90.00
_space_group_name_H-M_alt 'I 4/m m m'
_space_group_IT_number 139
_space_group_name_Hall '-I 4 2'
loop_
_atom_site_label
_atom_site_fract_x
_atom_site_fract_y
_atom_site_fract_z
In1 0.0000 0.0000 0.1745
Sn1 0.0000 0.0000 0.3448
Sn2 0.0000 0.5000 0.0000
Os1 0.0000 0.0000 0.5000
```

=====

# 3
This record from Alexandria via LeMat-Bulk describes a geometry-optimized InSnOs structure. The functional is PBE.

## Properties
Size of the total moment, μB/f.u.: 0.0
Raw total energy, eV per atom: -5.52

```
data_InSnOs
_cell_length_a 7.1635
_cell_length_b 5.7416
_cell_length_c 6.2115
_cell_angle_alpha 90.00
_cell_angle_beta 101.44
_cell_angle_gamma 90.00
_space_group_name_H-M_alt 'C 1 2/m 1'
_space_group_IT_number 12
loop_
_space_group_symop_operation_xyz
'x,y,z'
'-x,-y,-z'
'-x,y,-z'
'x,-y,z'
'x+1/2,y+1/2,z'
'-x+1/2,-y+1/2,-z'
'-x+1/2,y+1/2,-z'
'x+1/2,-y+1/2,z'
loop_
_atom_site_label
_atom_site_fract_x
_atom_site_fract_y
_atom_site_fract_z
In1 0.2500 0.2500 0.0000
Sn1 0.1702 0.0000 0.3969
Os1 0.0413 0.5000 0.2619
```

=====

# 4
This record from Alexandria via LeMat-Bulk describes a geometry-optimized In2SnOs structure. The functional is PBE.

## Properties
Size of the total moment, μB/f.u.: 0.0
Raw total energy, eV per atom: -4.54

```
data_In2SnOs
_cell_length_a 4.1304
_cell_length_b 4.1304
_cell_length_c 20.5522
_cell_angle_alpha 90.00
_cell_angle_beta 90.00
_cell_angle_gamma 90.00
_space_group_name_H-M_alt 'I -4 2 d'
_space_group_IT_number 122
_space_group_name_Hall 'I -4 2bw'
loop_
_atom_site_label
_atom_site_fract_x
_atom_site_fract_y
_atom_site_fract_z
In1 0.2367 0.2500 0.1250
Sn1 0.0000 0.0000 0.5000
Os1 0.0000 0.0000 0.0000
```

=====

# 5
This record from Alexandria via LeMat-Bulk describes a geometry-optimized InSn4Os structure. The functional is PBE.

## Properties
Size of the total moment, μB/f.u.: 0.0
Raw total energy, eV per atom: -4.88

```
data_InSn4Os
_cell_length_a 7.0024
_cell_length_b 7.0024
_cell_length_c 11.6631
_cell_angle_alpha 90.00
_cell_angle_beta 90.00
_cell_angle_gamma 90.00
_space_group_name_H-M_alt 'I 4/m c m'
_space_group_IT_number 140
_space_group_name_Hall '-I 4 2c'
loop_
_atom_site_label
_atom_site_fract_x
_atom_site_fract_y
_atom_site_fract_z
In1 0.0000 0.0000 0.0000
Sn1 0.1534 0.3466 0.1443
Os1 0.0000 0.0000 0.2500
```

=====

# 6
This record from Alexandria via LeMat-Bulk describes a geometry-optimized InSn2Os structure. The functional is PBE.

## Properties
Size of the total moment, μB/f.u.: 0.0
Raw total energy, eV per atom: -4.78

```
data_InSn2Os
_cell_length_a 6.5319
_cell_length_b 6.5319
_cell_length_c 12.0927
_cell_angle_alpha 90.00
_cell_angle_beta 90.00
_cell_angle_gamma 90.00
_space_group_name_H-M_alt 'I -4 2 d'
_space_group_IT_number 122
_space_group_name_Hall 'I -4 2bw'
loop_
_atom_site_label
_atom_site_fract_x
_atom_site_fract_y
_atom_site_fract_z
In1 0.0000 0.0000 0.0000
Sn1 0.1928 0.2500 0.6250
Os1 0.0000 0.0000 0.5000
```

=====

# 7
This record from Alexandria via LeMat-Bulk describes a geometry-optimized Th2InSnOs structure. The functional is PBE.

## Properties
Size of the total moment, μB/f.u.: 0.0
Raw total energy, eV per atom: -6.88

```
data_Th2InSnOs
_cell_length_a 8.3444
_cell_length_b 4.2842
_cell_length_c 8.4633
_cell_angle_alpha 90.00
_cell_angle_beta 115.19
_cell_angle_gamma 90.00
_space_group_name_H-M_alt 'P 1 21/m 1'
_space_group_IT_number 11
loop_
_space_group_symop_operation_xyz
'x,y,z'
'-x,-y,-z'
'-x,y+1/2,-z'
'x,-y+1/2,z'
loop_
_atom_site_label
_atom_site_fract_x
_atom_site_fract_y
_atom_site_fract_z
Th1 0.1180 0.2500 0.3288
Th2 0.2733 0.2500 0.9823
In1 0.2826 0.7500 0.6837
Sn1 0.4748 0.7500 0.3469
Os1 0.1308 0.7500 0.1073
```

=====

# 8
This record from Alexandria via LeMat-Bulk describes a geometry-optimized TlInSnOs2 structure. The functional is PBE.

## Properties
Size of the total moment, μB/f.u.: 2.1
Raw total energy, eV per atom: -4.51

```
data_TlInSnOs2
_cell_length_a 4.9958
_cell_length_b 4.9958
_cell_length_c 5.5585
_cell_angle_alpha 90.00
_cell_angle_beta 90.00
_cell_angle_gamma 90.00
_space_group_name_H-M_alt 'P 4/m m m'
_space_group_IT_number 123
_space_group_name_Hall '-P 4 2'
loop_
_atom_site_label
_atom_site_fract_x
_atom_site_fract_y
_atom_site_fract_z
Tl1 0.0000 0.0000 0.0000
In1 0.5000 0.5000 0.0000
Sn1 0.5000 0.5000 0.5000
Os1 0.0000 0.5000 0.5000
```

=====

# 9
This record from Alexandria via LeMat-Bulk describes a geometry-optimized TlIn2SnOs structure. The functional is PBE.

## Properties
Size of the total moment, μB/f.u.: 0.0
Raw total energy, eV per atom: -4.42

```
data_TlIn2SnOs
_cell_length_a 5.2618
_cell_length_b 5.2618
_cell_length_c 5.1274
_cell_angle_alpha 90.00
_cell_angle_beta 90.00
_cell_angle_gamma 90.00
_space_group_name_H-M_alt 'P 4/m m m'
_space_group_IT_number 123
_space_group_name_Hall '-P 4 2'
loop_
_atom_site_label
_atom_site_fract_x
_atom_site_fract_y
_atom_site_fract_z
Tl1 0.0000 0.0000 0.0000
In1 0.0000 0.5000 0.5000
Sn1 0.5000 0.5000 0.0000
Os1 0.5000 0.5000 0.5000
```

=====

# 10
This record from Alexandria via LeMat-Bulk describes a geometry-optimized YInSnOs2 structure. The functional is PBE.

## Properties
Size of the total moment, μB/f.u.: 2.1
Raw total energy, eV per atom: -5.12

```
data_YInSnOs2
_cell_length_a 5.0248
_cell_length_b 5.0248
_cell_length_c 5.6215
_cell_angle_alpha 90.00
_cell_angle_beta 90.00
_cell_angle_gamma 90.00
_space_group_name_H-M_alt 'P 4/m m m'
_space_group_IT_number 123
_space_group_name_Hall '-P 4 2'
loop_
_atom_site_label
_atom_site_fract_x
_atom_site_fract_y
_atom_site_fract_z
Y1 0.0000 0.0000 0.0000
In1 0.5000 0.5000 0.5000
Sn1 0.0000 0.0000 0.5000
Os1 0.0000 0.5000 0.0000
```

=====

# 11
This record from Alexandria via LeMat-Bulk describes a geometry-optimized SrInOs structure. The functional is PBE.

## Properties
Size of the total moment, μB/f.u.: 0.0
Raw total energy, eV per atom: -4.80

```
data_SrInOs
_cell_length_a 4.6309
_cell_length_b 4.6309
_cell_length_c 4.2371
_cell_angle_alpha 90.00
_cell_angle_beta 90.00
_cell_angle_gamma 120.00
_space_group_name_H-M_alt 'P -6 m 2'
_space_group_IT_number 187
_space_group_name_Hall 'P -6 2'
loop_
_atom_site_label
_atom_site_fract_x
_atom_site_fract_y
_atom_site_fract_z
Sr1 0.0000 0.0000 0.0000
In1 0.6667 0.3333 0.5000
Os1 0.3333 0.6667 0.5000
```

=====

# 12
This record from Alexandria via LeMat-Bulk describes a geometry-optimized SrIn4Os structure. The functional is PBE.

## Properties
Size of the total moment, μB/f.u.: 1.0
Raw total energy, eV per atom: -3.49

```
data_SrIn4Os
_cell_length_a 8.3865
_cell_length_b 8.3865
_cell_length_c 8.3865
_cell_angle_alpha 90.00
_cell_angle_beta 90.00
_cell_angle_gamma 90.00
_space_group_name_H-M_alt 'F -4 3 m'
_space_group_IT_number 216
_space_group_name_Hall 'F -4 2 3'
loop_
_atom_site_label
_atom_site_fract_x
_atom_site_fract_y
_atom_site_fract_z
Sr1 0.0000 0.0000 0.0000
In1 0.1242 0.1242 0.6242
Os1 0.2500 0.2500 0.2500
```

=====

# 13
This record from Alexandria via LeMat-Bulk describes a geometry-optimized Sr2InOs structure. The functional is PBE.

## Properties
Size of the total moment, μB/f.u.: 0.6
Raw total energy, eV per atom: -3.73

```
data_Sr2InOs
_cell_length_a 8.1343
_cell_length_b 3.1927
_cell_length_c 9.3464
_cell_angle_alpha 90.00
_cell_angle_beta 95.93
_cell_angle_gamma 90.00
_space_group_name_H-M_alt 'C 1 2/m 1'
_space_group_IT_number 12
loop_
_space_group_symop_operation_xyz
'x,y,z'
'-x,-y,-z'
'-x,y,-z'
'x,-y,z'
'x+1/2,y+1/2,z'
'-x+1/2,-y+1/2,-z'
'-x+1/2,y+1/2,-z'
'x+1/2,-y+1/2,z'
loop_
_atom_site_label
_atom_site_fract_x
_atom_site_fract_y
_atom_site_fract_z
Sr1 0.2412 0.0000 0.2032
In1 0.0000 0.0000 0.5000
Os1 0.0000 0.5000 0.0000
```

=====

# 14
This record from Alexandria via LeMat-Bulk describes a geometry-optimized Sr2InOs structure. The functional is PBE.

## Properties
Size of the total moment, μB/f.u.: 0.0
Raw total energy, eV per atom: -4.04

```
data_Sr2InOs
_cell_length_a 12.3465
_cell_length_b 3.7980
_cell_length_c 5.4442
_cell_angle_alpha 90.00
_cell_angle_beta 115.80
_cell_angle_gamma 90.00
_space_group_name_H-M_alt 'C 1 m 1'
_space_group_IT_number 8
loop_
_space_group_symop_operation_xyz
'x,y,z'
'x,-y,z'
'x+1/2,y+1/2,z'
'x+1/2,-y+1/2,z'
loop_
_atom_site_label
_atom_site_fract_x
_atom_site_fract_y
_atom_site_fract_z
Sr1 0.0000 0.0000 0.0000
Sr2 0.1957 0.0000 0.6937
In1 0.2933 0.5000 0.2911
Os1 0.4624 0.0000 0.4644
```

=====

# 15
This record from Alexandria via LeMat-Bulk describes a geometry-optimized Sr2InOs structure. The functional is PBE.

## Properties
Size of the total moment, μB/f.u.: 0.0
Raw total energy, eV per atom: -4.10

```
data_Sr2InOs
_cell_length_a 4.5400
_cell_length_b 4.7145
_cell_length_c 11.6180
_cell_angle_alpha 90.00
_cell_angle_beta 90.00
_cell_angle_gamma 90.00
_space_group_name_H-M_alt 'A m m 2'
_space_group_IT_number 38
loop_
_space_group_symop_operation_xyz
'x,y,z'
'-x,-y,z'
'-x,y,z'
'x,-y,z'
'x,y+1/2,z+1/2'
'-x,-y+1/2,z+1/2'
'-x,y+1/2,z+1/2'
'x,-y+1/2,z+1/2'
loop_
_atom_site_label
_atom_site_fract_x
_atom_site_fract_y
_atom_site_fract_z
Sr1 0.0000 0.0000 0.0000
Sr2 0.5000 0.0000 0.2824
In1 0.0000 0.0000 0.7014
Os1 0.5000 0.0000 0.5825
```

=====

# 16
This record from Alexandria via LeMat-Bulk describes a geometry-optimized SrInOs structure. The functional is PBE.

## Properties
Size of the total moment, μB/f.u.: 1.1
Raw total energy, eV per atom: -3.76

```
data_SrInOs
_cell_length_a 7.0918
_cell_length_b 7.0918
_cell_length_c 7.0918
_cell_angle_alpha 90.00
_cell_angle_beta 90.00
_cell_angle_gamma 90.00
_space_group_name_H-M_alt 'F -4 3 m'
_space_group_IT_number 216
_space_group_name_Hall 'F -4 2 3'
loop_
_atom_site_label
_atom_site_fract_x
_atom_site_fract_y
_atom_site_fract_z
Sr1 0.0000 0.0000 0.0000
In1 0.2500 0.2500 0.7500
Os1 0.2500 0.2500 0.2500
```

=====

# 17
This record from Alexandria via LeMat-Bulk describes a geometry-optimized Sr2InOs structure. The functional is PBE.

## Properties
Size of the total moment, μB/f.u.: 0.0
Raw total energy, eV per atom: -3.93

```
data_Sr2InOs
_cell_length_a 3.6286
_cell_length_b 3.6401
_cell_length_c 8.5175
_cell_angle_alpha 90.00
_cell_angle_beta 90.00
_cell_angle_gamma 90.00
_space_group_name_H-M_alt 'P m m m'
_space_group_IT_number 47
loop_
_space_group_symop_operation_xyz
'x,y,z'
'-x,-y,-z'
'-x,-y,z'
'x,y,-z'
'x,-y,-z'
'-x,y,z'
'-x,y,-z'
'x,-y,z'
loop_
_atom_site_label
_atom_site_fract_x
_atom_site_fract_y
_atom_site_fract_z
Sr1 0.0000 0.0000 0.2096
In1 0.5000 0.5000 0.5000
Os1 0.5000 0.5000 0.0000
```

=====

# 18
This record from Alexandria via LeMat-Bulk describes a geometry-optimized SrInOs structure. The functional is PBE.

## Properties
Size of the total moment, μB/f.u.: 0.0
Raw total energy, eV per atom: -4.81

```
data_SrInOs
_cell_length_a 3.5852
_cell_length_b 3.5852
_cell_length_c 11.3165
_cell_angle_alpha 90.00
_cell_angle_beta 90.00
_cell_angle_gamma 90.00
_space_group_name_H-M_alt 'I 4 m m'
_space_group_IT_number 107
_space_group_name_Hall 'I 4 -2'
loop_
_atom_site_label
_atom_site_fract_x
_atom_site_fract_y
_atom_site_fract_z
Sr1 0.0000 0.0000 0.0000
In1 0.0000 0.0000 0.7188
Os1 0.0000 0.0000 0.3117
```

=====

# 19
This record from Alexandria via LeMat-Bulk describes a geometry-optimized Sr2InOs structure. The functional is PBE.

## Properties
Size of the total moment, μB/f.u.: 0.0
Raw total energy, eV per atom: -3.86

```
data_Sr2InOs
_cell_length_a 4.8554
_cell_length_b 4.8554
_cell_length_c 8.6933
_cell_angle_alpha 90.00
_cell_angle_beta 90.00
_cell_angle_gamma 90.00
_space_group_name_H-M_alt 'I -4 m 2'
_space_group_IT_number 119
_space_group_name_Hall 'I -4 -2'
loop_
_atom_site_label
_atom_site_fract_x
_atom_site_fract_y
_atom_site_fract_z
Sr1 0.0000 0.0000 0.0000
Sr2 0.0000 0.5000 0.2500
In1 0.0000 0.5000 0.7500
Os1 0.0000 0.0000 0.5000
```

=====

# 20
This record from Alexandria via LeMat-Bulk describes a geometry-optimized Sr3InOs structure. The functional is PBE.

## Properties
Size of the total moment, μB/f.u.: 0.0
Raw total energy, eV per atom: -3.44

```
data_Sr3InOs
_cell_length_a 5.7920
_cell_length_b 5.7920
_cell_length_c 5.7920
_cell_angle_alpha 90.00
_cell_angle_beta 90.00
_cell_angle_gamma 90.00
_space_group_name_H-M_alt 'P m -3 m'
_space_group_IT_number 221
_space_group_name_Hall '-P 4 2 3'
loop_
_atom_site_label
_atom_site_fract_x
_atom_site_fract_y
_atom_site_fract_z
Sr1 0.0000 0.0000 0.5000
In1 0.5000 0.5000 0.5000
Os1 0.0000 0.0000 0.0000
```